FeOsPd2: optimized geometry, PBE.

Properties
ΔE_f: 0.96 eV per atom
DOS at the Fermi energy: 16.57 states/eV per cell

a = 6.8747 Å, b = 6.8747 Å, c = 5.4915 Å
α = 51.25°, β = 51.25°, γ = 90.00°
Closest atoms and distances in Å follow each position.
Element x y z (fractional)
1 Os 0.0000 0.0000 0.0000  2 Fe 2.55, 4 Pd 2.61
2 Os 0.7500 0.2500 0.5000  2 Fe 2.55, 4 Pd 2.61
3 Pd 0.8750 0.8542 0.7500  2 Fe 2.42, 2 Pd 2.57, 2 Os 2.61
4 Pd 0.6042 0.1250 0.2500  2 Fe 2.42, 2 Pd 2.57, 2 Os 2.61
5 Pd 0.1458 0.6250 0.2500  2 Fe 2.42, 2 Pd 2.57, 2 Os 2.61
6 Pd 0.3750 0.3958 0.7500  2 Fe 2.42, 2 Pd 2.57, 2 Os 2.61
7 Fe 0.2500 0.7500 0.5000  4 Pd 2.42, 2 Os 2.55
8 Fe 0.5000 0.5000 0.0000  4 Pd 2.42, 2 Os 2.55